# CeDy6Er12, optimized geometry, DFT PBE
# DOS at the Fermi energy   105.930 states/eV per cell
# E_form   217 meV/atom
# E_tot   -252.509 eV/cell
# Spin magnetization   3.57 μB per cell
data_CeDy6Er12
_cell_length_a 13.1227
_cell_length_b 13.1227
_cell_length_c 12.2961
_cell_angle_alpha 90.00
_cell_angle_beta 90.00
_cell_angle_gamma 120.00
_space_group_name_H-M_alt 'R -3 m'
_space_group_IT_number 166
_space_group_name_Hall '-R 3 2"'
loop_
_atom_site_label
_atom_site_type_symbol
_atom_site_fract_x
_atom_site_fract_y
_atom_site_fract_z
_atom_site_occupancy
Ce1 Ce 0.0000 0.0000 0.0000 1
Dy1 Dy 0.0383 0.5191 0.6227 1
Er1 Er 0.0000 0.2568 0.5000 1
Er2 Er 0.0907 0.1815 0.2604 1